Entry 1:
# Cs2TeI (PBE, relaxed)
# **Energy above the most stable polymorph in this dataset**: 0.84 eV/f.u.
# **VASP energy**: -41.0 eV per cell
# **Spin magnetization**: 0.250 μB per atom
data_Cs2TeI
_chemical_formula_sum 'Cs8 Te4 I4'
_cell_length_a 9.3160
_cell_length_b 9.3160
_cell_length_c 9.3160
_cell_angle_alpha 90.00
_cell_angle_beta 90.00
_cell_angle_gamma 90.00
_space_group_name_H-M_alt 'F m -3 m'
_space_group_IT_number 225
_space_group_name_Hall '-F 4 2 3'
loop_
_atom_site_label
_atom_site_type_symbol
_atom_site_fract_x
_atom_site_fract_y
_atom_site_fract_z
Cs1 Cs 0.2500 0.2500 0.2500
Te1 Te 0.0000 0.0000 0.0000
I1 I 0.0000 0.0000 0.5000

---

Entry 2:
# KNb3Fe (PBE, relaxed)
# **Energy above the most stable polymorph in this dataset**: 0.00 eV/f.u.
# **VASP energy**: -34.2 eV per cell
# **DFT formation energy**: 1.117 eV/atom
# **Spin magnetization**: 0.000 μB per atom
data_KNb3Fe
_chemical_formula_sum 'K1 Nb3 Fe1'
_cell_length_a 4.7853
_cell_length_b 4.7853
_cell_length_c 4.7853
_cell_angle_alpha 90.00
_cell_angle_beta 90.00
_cell_angle_gamma 90.00
_space_group_name_H-M_alt 'P m -3 m'
_space_group_IT_number 221
_space_group_name_Hall '-P 4 2 3'
loop_
_atom_site_label
_atom_site_type_symbol
_atom_site_fract_x
_atom_site_fract_y
_atom_site_fract_z
K1 K 0.0000 0.0000 0.0000
Nb1 Nb 0.0000 0.5000 0.5000
Fe1 Fe 0.5000 0.5000 0.5000

---

Entry 3:
# Mg2Co (PBE, relaxed)
# **VASP energy**: -33.5 eV per cell
# **DFT formation energy**: 0.641 eV/atom
# **Spin magnetization**: 0.489 μB per atom
data_Mg2Co
_chemical_formula_sum 'Mg8 Co4'
_cell_length_a 5.3680
_cell_length_b 5.3680
_cell_length_c 8.8025
_cell_angle_alpha 90.00
_cell_angle_beta 90.00
_cell_angle_gamma 120.00
_space_group_name_H-M_alt 'P 63/m m c'
_space_group_IT_number 194
_space_group_name_Hall '-P 6c 2c'
loop_
_atom_site_label
_atom_site_type_symbol
_atom_site_fract_x
_atom_site_fract_y
_atom_site_fract_z
Mg1 Mg 0.0000 0.0000 0.0000
Mg2 Mg 0.1729 0.3459 0.2500
Co1 Co 0.3333 0.6667 0.5264

---

Entry 4:
# IrOsAu2 (PBE, relaxed)
# **Energy above the most stable polymorph in this dataset**: 0.45 eV/f.u.
# **VASP energy**: -25.3 eV per cell
# **DFT formation energy**: 0.348 eV/atom
# **Spin magnetization**: 0.000 μB per atom
data_IrOsAu2
_chemical_formula_sum 'Ir1 Os1 Au2'
_cell_length_a 2.7976
_cell_length_b 3.7767
_cell_length_c 6.2522
_cell_angle_alpha 90.00
_cell_angle_beta 90.07
_cell_angle_gamma 90.00
_space_group_name_H-M_alt 'P 1 m 1'
_space_group_IT_number 6
_space_group_name_Hall 'P -2y'
loop_
_atom_site_label
_atom_site_type_symbol
_atom_site_fract_x
_atom_site_fract_y
_atom_site_fract_z
Ir1 Ir 0.0000 0.0000 0.0000
Os1 Os 0.5007 0.5000 0.1788
Au1 Au 0.0004 0.0000 0.4569
Au2 Au 0.5000 0.5000 0.7214

---

Entry 5:
# KReCl (PBE, relaxed)
# **Energy above the most stable polymorph in this dataset**: 0.31 eV/f.u.
# **VASP energy**: -25.3 eV per cell
# **Spin magnetization**: 0.000 μB per atom
data_KReCl
_chemical_formula_sum 'K2 Re2 Cl2'
_cell_length_a 2.9242
_cell_length_b 2.9242
_cell_length_c 14.1010
_cell_angle_alpha 90.00
_cell_angle_beta 90.00
_cell_angle_gamma 90.00
_space_group_name_H-M_alt 'I 4 m m'
_space_group_IT_number 107
_space_group_name_Hall 'I 4 -2'
loop_
_atom_site_label
_atom_site_type_symbol
_atom_site_fract_x
_atom_site_fract_y
_atom_site_fract_z
K1 K 0.0000 0.0000 0.0000
Re1 Re 0.0000 0.0000 0.3020
Cl1 Cl 0.0000 0.0000 0.6675

---

Entry 6:
# Ac2Tl2Ga (PBE, relaxed)
# **VASP energy**: -71.6 eV per cell
# **DFT formation energy**: -0.387 eV/atom
# **Spin magnetization**: 0.000 μB per atom
data_Ac2Tl2Ga
_chemical_formula_sum 'Ac8 Tl8 Ga4'
_cell_length_a 12.3924
_cell_length_b 4.8923
_cell_length_c 12.2845
_cell_angle_alpha 90.00
_cell_angle_beta 118.71
_cell_angle_gamma 90.00
_space_group_name_H-M_alt 'C 1 2/m 1'
_space_group_IT_number 12
_space_group_name_Hall '-C 2y'
loop_
_atom_site_label
_atom_site_type_symbol
_atom_site_fract_x
_atom_site_fract_y
_atom_site_fract_z
Ac1 Ac 0.0962 0.0000 0.4025
Ac2 Ac 0.2048 0.5000 0.1603
Tl1 Tl 0.0809 0.0000 0.9381
Tl2 Tl 0.1317 0.5000 0.6193
Ga1 Ga 0.0417 0.5000 0.7957

---

Entry 7:
# Pm2PuUN4 (PBE, relaxed)
# **VASP energy**: -79.7 eV per cell
# **Spin magnetization**: 0.672 μB per atom
data_Pm2PuUN4
_chemical_formula_sum 'Pm2 Pu1 U1 N4'
_cell_length_a 6.0789
_cell_length_b 3.5278
_cell_length_c 6.1161
_cell_angle_alpha 90.00
_cell_angle_beta 109.35
_cell_angle_gamma 90.00
_space_group_name_H-M_alt 'P 1 2/m 1'
_space_group_IT_number 10
_space_group_name_Hall '-P 2y'
loop_
_atom_site_label
_atom_site_type_symbol
_atom_site_fract_x
_atom_site_fract_y
_atom_site_fract_z
Pm1 Pm 0.0000 0.0000 0.0000
Pm2 Pm 0.5000 0.5000 0.0000
Pu1 Pu 0.0000 0.5000 0.5000
U1 U 0.5000 0.0000 0.5000
N1 N 0.2555 0.0000 0.7192
N2 N 0.2736 0.5000 0.2827

---

Entry 8:
# Mg2CdMo (PBE, relaxed)
# **VASP energy**: -27.8 eV per cell
# **DFT formation energy**: 0.254 eV/atom
# **Spin magnetization**: 0.000 μB per atom
data_Mg2CdMo
_chemical_formula_sum 'Mg4 Cd2 Mo2'
_cell_length_a 5.9576
_cell_length_b 8.7598
_cell_length_c 2.8828
_cell_angle_alpha 90.00
_cell_angle_beta 90.00
_cell_angle_gamma 90.00
_space_group_name_H-M_alt 'C m m m'
_space_group_IT_number 65
_space_group_name_Hall '-C 2 2'
loop_
_atom_site_label
_atom_site_type_symbol
_atom_site_fract_x
_atom_site_fract_y
_atom_site_fract_z
Mg1 Mg 0.2500 0.2500 0.0000
Cd1 Cd 0.0000 0.0000 0.5000
Mo1 Mo 0.0000 0.5000 0.5000

---

Entry 9:
# Fe2S2I (PBE, relaxed)
# **VASP energy**: -57.0 eV per cell
# **Spin magnetization**: 0.000 μB per atom
data_Fe2S2I
_chemical_formula_sum 'Fe4 S4 I2'
_cell_length_a 3.5388
_cell_length_b 3.5388
_cell_length_c 18.5695
_cell_angle_alpha 90.00
_cell_angle_beta 90.00
_cell_angle_gamma 90.00
_space_group_name_H-M_alt 'I 4/m m m'
_space_group_IT_number 139
_space_group_name_Hall '-I 4 2'
loop_
_atom_site_label
_atom_site_type_symbol
_atom_site_fract_x
_atom_site_fract_y
_atom_site_fract_z
Fe1 Fe 0.0000 0.5000 0.2500
S1 S 0.0000 0.0000 0.1827
I1 I 0.0000 0.0000 0.5000

---

Entry 10:
# K2PtPb (PBE, relaxed)
# **VASP energy**: -11.4 eV per cell
# **DFT formation energy**: 0.130 eV/atom
# **Spin magnetization**: 0.000 μB per atom
data_K2PtPb
_chemical_formula_sum 'K2 Pt1 Pb1'
_cell_length_a 3.3124
_cell_length_b 5.3421
_cell_length_c 6.3785
_cell_angle_alpha 90.00
_cell_angle_beta 90.00
_cell_angle_gamma 90.00
_space_group_name_H-M_alt 'P m m m'
_space_group_IT_number 47
_space_group_name_Hall '-P 2 2'
loop_
_atom_site_label
_atom_site_type_symbol
_atom_site_fract_x
_atom_site_fract_y
_atom_site_fract_z
K1 K 0.0000 0.0000 0.2324
Pt1 Pt 0.5000 0.5000 0.0000
Pb1 Pb 0.5000 0.5000 0.5000

---

Entry 11:
# RbCd2Sn (PBE, relaxed)
# **VASP energy**: -6.6 eV per cell
# **DFT formation energy**: 0.038 eV/atom
# **Spin magnetization**: 0.000 μB per atom
data_RbCd2Sn
_chemical_formula_sum 'Rb1 Cd2 Sn1'
_cell_length_a 3.9865
_cell_length_b 3.9865
_cell_length_c 8.2944
_cell_angle_alpha 90.00
_cell_angle_beta 90.00
_cell_angle_gamma 90.00
_space_group_name_H-M_alt 'P 4/m m m'
_space_group_IT_number 123
_space_group_name_Hall '-P 4 2'
loop_
_atom_site_label
_atom_site_type_symbol
_atom_site_fract_x
_atom_site_fract_y
_atom_site_fract_z
Rb1 Rb 0.0000 0.0000 0.0000
Cd1 Cd 0.5000 0.5000 0.3088
Sn1 Sn 0.0000 0.0000 0.5000

---

Entry 12:
# Li2Cl (PBE, relaxed)
# **Energy above the most stable polymorph in this dataset**: 0.14 eV/f.u.
# **VASP energy**: -34.9 eV per cell
# **Spin magnetization**: 0.000 μB per atom
data_Li2Cl
_chemical_formula_sum 'Li8 Cl4'
_cell_length_a 3.3900
_cell_length_b 27.0274
_cell_length_c 3.4335
_cell_angle_alpha 90.00
_cell_angle_beta 90.00
_cell_angle_gamma 90.00
_space_group_name_H-M_alt 'C m c m'
_space_group_IT_number 63
_space_group_name_Hall '-C 2c 2'
loop_
_atom_site_label
_atom_site_type_symbol
_atom_site_fract_x
_atom_site_fract_y
_atom_site_fract_z
Li1 Li 0.0000 0.0794 0.2500
Li2 Li 0.0000 0.2145 0.7500
Cl1 Cl 0.0000 0.4211 0.2500